A plane-wave DFT calculation with PBE-GGA was carried out for a geometry-optimized CrOs2Br structure.

Cell: 2.9419 4.7820 4.4744 Å, 90.00 90.25 90.00°
With the nearest neighbours (Å) after each atom.
Space group P2/m (No. 10)
One atom of each set of equivalent atoms:
Cr 0.0000 0.0000 0.0000 x1  4 Br 2.67-2.68, 4 Os 2.71, 2 Cr 2.94
Os 0.2160 0.5000 0.7520 x2  4 Os 2.56-2.81, 2 Cr 2.71, 2 Br 2.77
Br 0.5000 0.0000 0.5000 x1  4 Cr 2.67-2.68, 4 Os 2.77, 2 Br 2.94

uncorrected formation energy = 1.052 eV per atom